1.
A plane-wave DFT calculation with PBE was carried out for a geometry-optimized TlW2Br structure.

Values from the calculation:
Mass density = 13.72 g/cm³
Final energy = -5.7969 eV/atom
Offset from the most stable computed form = 1.2435 eV/atom
Uncorrected formation energy = 1.69 eV per atom
Size of the total moment = 0.00 Bohr magnetons per cell

Cell: 4.075 4.075 9.503 Å, 90.00 90.00 90.00°
Positions (direct):
Tl: 0.000 0.000 0.000
Tl: 0.500 0.500 0.500
W: 0.000 0.500 0.250
W: 0.000 0.500 0.750
W: 0.500 0.000 0.250
W: 0.500 0.000 0.750
Br: 0.000 0.000 0.500
Br: 0.500 0.500 0.000

2.
A plane-wave DFT calculation with PBE was carried out for a geometry-optimized Tl2WBr5 structure.

Values from the calculation:
Mass density = 5.45 g/cm³
Final energy = -3.7247 eV/atom
Uncorrected formation energy = -0.47 eV per atom
Size of the total moment = 6.00 Bohr magnetons per cell

Cell: 12.173 7.688 7.966 Å, 90.00 125.74 90.00°
Positions (direct):
Tl: 0.000 0.000 0.000
Tl: 0.030 0.500 0.557
Tl: 0.500 0.500 0.000
Tl: 0.530 0.000 0.557
W: 0.291 0.000 0.814
W: 0.791 0.500 0.814
Br: 0.029 0.500 0.121
Br: 0.220 0.235 0.962
Br: 0.220 0.765 0.962
Br: 0.296 0.234 0.588
Br: 0.296 0.766 0.588
Br: 0.529 0.000 0.121
Br: 0.720 0.265 0.962
Br: 0.720 0.735 0.962
Br: 0.796 0.266 0.588
Br: 0.796 0.734 0.588

3.
A plane-wave DFT calculation with PBE was carried out for a geometry-optimized YTl2Br structure.

Values from the calculation:
Mass density = 7.89 g/cm³
Final energy = -3.5933 eV/atom
Offset from the most stable computed form = 0.2109 eV/atom
Uncorrected formation energy = -0.38 eV per atom
Size of the total moment = 0.00 Bohr magnetons per cell

Cell: 3.767 5.579 5.803 Å, 90.00 94.68 90.00°
Positions (direct):
Y: 0.000 0.000 0.000
Tl: 0.414 0.500 0.240
Tl: 0.586 0.500 0.760
Br: 0.000 0.000 0.500

4.
A plane-wave DFT calculation with PBE was carried out for a geometry-optimized Y2TlBr structure.

Values from the calculation:
Mass density = 6.60 g/cm³
Final energy = -4.1632 eV/atom
Offset from the most stable computed form = 0.7696 eV/atom
Uncorrected formation energy = 0.08 eV per atom
Size of the total moment = 0.00 Bohr magnetons per cell

Cell: 7.747 7.747 7.747 Å, 90.00 90.00 90.00°
Positions (direct):
Y: 0.000 0.000 0.000
Y: 0.000 0.500 0.500
Y: 0.250 0.250 0.250
Y: 0.250 0.750 0.750
Y: 0.500 0.000 0.500
Y: 0.500 0.500 0.000
Y: 0.750 0.250 0.750
Y: 0.750 0.750 0.250
Tl: 0.000 0.000 0.500
Tl: 0.000 0.500 0.000
Tl: 0.500 0.000 0.000
Tl: 0.500 0.500 0.500
Br: 0.250 0.250 0.750
Br: 0.250 0.750 0.250
Br: 0.750 0.250 0.250
Br: 0.750 0.750 0.750

5.
A plane-wave DFT calculation with PBE was carried out for a geometry-optimized YTl2Br structure.

Values from the calculation:
Mass density = 8.36 g/cm³
Final energy = -3.5965 eV/atom
Offset from the most stable computed form = 0.2077 eV/atom
Uncorrected formation energy = -0.38 eV per atom
Size of the total moment = 0.00 Bohr magnetons per cell

Cell: 7.107 8.772 3.680 Å, 90.00 90.00 90.00°
Positions (direct):
Y: 0.000 0.000 0.000
Y: 0.500 0.500 0.000
Tl: 0.250 0.250 0.500
Tl: 0.250 0.750 0.500
Tl: 0.750 0.250 0.500
Tl: 0.750 0.750 0.500
Br: 0.000 0.500 0.000
Br: 0.500 0.000 0.000

6.
A plane-wave DFT calculation with PBE was carried out for a geometry-optimized YTlBr2 structure.

Values from the calculation:
Mass density = 6.43 g/cm³
Final energy = -3.8185 eV/atom
Offset from the most stable computed form = 0.3227 eV/atom
Uncorrected formation energy = -0.77 eV per atom
Size of the total moment = 0.00 Bohr magnetons per cell

Cell: 7.231 9.974 3.812 Å, 90.00 121.59 90.00°
Positions (direct):
Y: 0.000 0.000 0.000
Y: 0.500 0.500 0.000
Tl: 0.000 0.500 0.000
Tl: 0.500 0.000 0.000
Br: 0.250 0.250 0.500
Br: 0.250 0.750 0.500
Br: 0.750 0.250 0.500
Br: 0.750 0.750 0.500